A plane-wave DFT calculation with GGA-PBEsol was carried out for a relaxed structure of SrCdW.

The structure belongs to space group F-43m (No. 216); the cell edges are 6.985, 6.985 and 6.985 Å and the angles 90.00°, 90.00° and 90.00°. The inequivalent atoms are Sr at (0.000, 0.000, 0.000), Cd at (0.250, 0.250, 0.750) and W at (0.000, 0.000, 0.500).

Its formation energy is 1.52 eV/atom. The density of states at the Fermi level comes out at 2.32 states/eV/f.u. For the size of the total moment, the calculation gives 13.741 μB/cell.